[1]
# Li2AcPr2Tl2 (PBE, optimized geometry)
# **DOS(E_F)**: 17.04 states/eV per cell
# **E**: -3.3883 eV per atom
# **DFT formation energy**: -0.21 eV/atom
data_Li2AcPr2Tl2
_symmetry_space_group_name_H-M 'R -3 m'
_symmetry_Int_Tables_number 166
_symmetry_space_group_name_Hall '-R 3 2"'
_cell_length_a 5.0055
_cell_length_b 5.0055
_cell_length_c 28.7185
_cell_angle_alpha 90.00
_cell_angle_beta 90.00
_cell_angle_gamma 120.00
loop_
_atom_site_label
_atom_site_type_symbol
_atom_site_fract_x
_atom_site_fract_y
_atom_site_fract_z
Li1 Li 0.0000 0.0000 0.0905
Ac1 Ac 0.0000 0.0000 0.5000
Pr1 Pr 0.0000 0.0000 0.3704
Tl1 Tl 0.0000 0.0000 0.2426

[2]
# LiAcPrY (PBE, optimized geometry)
# **DOS(E_F)**: 19.94 states/eV per cell
# **E**: -4.0827 eV per atom
# **DFT formation energy**: 0.23 eV/atom
data_LiAcPrY
_symmetry_space_group_name_H-M 'F -4 3 m'
_symmetry_Int_Tables_number 216
_symmetry_space_group_name_Hall 'F -4 2 3'
_cell_length_a 8.190
_cell_length_b 8.190
_cell_length_c 8.190
_cell_angle_alpha 90.00
_cell_angle_beta 90.00
_cell_angle_gamma 90.00
loop_
_atom_site_label
_atom_site_type_symbol
_atom_site_fract_x
_atom_site_fract_y
_atom_site_fract_z
Li1 Li 0.000 0.000 0.000
Ac1 Ac 0.000 0.000 0.500
Pr1 Pr 0.250 0.250 0.750
Y1 Y 0.250 0.250 0.250

[3]
# LiAcPrZn (PBE, optimized geometry)
# **DOS(E_F)**: 4.57 states/eV per cell
# **E**: -3.1240 eV per atom
# **DFT formation energy**: -0.11 eV/atom
data_LiAcPrZn
_symmetry_space_group_name_H-M 'P 4 m m'
_symmetry_Int_Tables_number 99
_cell_length_a 3.902
_cell_length_b 3.902
_cell_length_c 7.668
_cell_angle_alpha 90.00
_cell_angle_beta 90.00
_cell_angle_gamma 90.00
loop_
_symmetry_equiv_pos_as_xyz
'x,y,z'
'-y,x,z'
'-x,-y,z'
'y,-x,z'
'-x,y,z'
'y,x,z'
'x,-y,z'
'-y,-x,z'
loop_
_atom_site_label
_atom_site_type_symbol
_atom_site_fract_x
_atom_site_fract_y
_atom_site_fract_z
Li1 Li 0.000 0.000 0.000
Ac1 Ac 0.500 0.500 0.715
Pr1 Pr 0.500 0.500 0.249
Zn1 Zn 0.000 0.000 0.459

[4]
# LiAcPrZn (PBE, optimized geometry)
# **DOS(E_F)**: 24.12 states/eV per cell
# **E**: -3.0982 eV per atom
# **DFT formation energy**: -0.08 eV/atom
data_LiAcPrZn
_symmetry_space_group_name_H-M 'F -4 3 m'
_symmetry_Int_Tables_number 216
_symmetry_space_group_name_Hall 'F -4 2 3'
_cell_length_a 7.728
_cell_length_b 7.728
_cell_length_c 7.728
_cell_angle_alpha 90.00
_cell_angle_beta 90.00
_cell_angle_gamma 90.00
loop_
_atom_site_label
_atom_site_type_symbol
_atom_site_fract_x
_atom_site_fract_y
_atom_site_fract_z
Li1 Li 0.000 0.000 0.000
Ac1 Ac 0.250 0.250 0.250
Pr1 Pr 0.250 0.250 0.750
Zn1 Zn 0.000 0.000 0.500

[5]
# Li2Ac3Pt3 (PBE, optimized geometry)
# **DOS(E_F)**: 10.04 states/eV per cell
# **E**: -5.1117 eV per atom
# **DFT formation energy**: -0.83 eV/atom
data_Li2Ac3Pt3
_symmetry_space_group_name_H-M 'P 63/m c m'
_symmetry_Int_Tables_number 193
_symmetry_space_group_name_Hall '-P 6c 2'
_cell_length_a 9.0883
_cell_length_b 9.0883
_cell_length_c 6.0766
_cell_angle_alpha 90.00
_cell_angle_beta 90.00
_cell_angle_gamma 120.00
loop_
_atom_site_label
_atom_site_type_symbol
_atom_site_fract_x
_atom_site_fract_y
_atom_site_fract_z
Li1 Li 0.3333 0.6667 0.0000
Ac1 Ac 0.0000 0.2987 0.2500
Pt1 Pt 0.0000 0.3689 0.7500

[6]
# LiAc2Pt2 (PBE, optimized geometry)
# **DOS(E_F)**: 8.62 states/eV per cell
# **E**: -5.3555 eV per atom
# **DFT formation energy**: -0.91 eV/atom
data_LiAc2Pt2
_symmetry_space_group_name_H-M 'I b a m'
_symmetry_Int_Tables_number 72
_symmetry_space_group_name_Hall '-I 2 2c'
_cell_length_a 7.117
_cell_length_b 12.184
_cell_length_c 6.166
_cell_angle_alpha 90.00
_cell_angle_beta 90.00
_cell_angle_gamma 90.00
loop_
_atom_site_label
_atom_site_type_symbol
_atom_site_fract_x
_atom_site_fract_y
_atom_site_fract_z
Li1 Li 0.000 0.000 0.250
Ac1 Ac 0.180 0.360 0.000
Pt1 Pt 0.244 0.113 0.000

[7]
# Li2Ac2Pt15 (PBE, optimized geometry)
# **DOS(E_F)**: 41.57 states/eV per cell
# **E**: -6.0218 eV per atom
# **DFT formation energy**: -0.62 eV/atom
data_Li2Ac2Pt15
_symmetry_space_group_name_H-M 'R -3 m'
_symmetry_Int_Tables_number 166
_symmetry_space_group_name_Hall '-R 3 2"'
_cell_length_a 9.3932
_cell_length_b 9.3932
_cell_length_c 13.4814
_cell_angle_alpha 90.00
_cell_angle_beta 90.00
_cell_angle_gamma 120.00
loop_
_atom_site_label
_atom_site_type_symbol
_atom_site_fract_x
_atom_site_fract_y
_atom_site_fract_z
Li1 Li 0.0000 0.0000 0.0933
Ac1 Ac 0.0000 0.0000 0.3413
Pt1 Pt 0.0000 0.3102 0.0000
Pt2 Pt 0.0000 0.5000 0.5000
Pt3 Pt 0.0011 0.5006 0.8408

[8]
# Li6AcPt4 (PBE, optimized geometry)
# **DOS(E_F)**: 7.68 states/eV per cell
# **E**: -4.0442 eV per atom
# **DFT formation energy**: -0.43 eV/atom
data_Li6AcPt4
_symmetry_space_group_name_H-M 'I -4 2 m'
_symmetry_Int_Tables_number 121
_symmetry_space_group_name_Hall 'I -4 2'
_cell_length_a 6.611
_cell_length_b 6.611
_cell_length_c 9.732
_cell_angle_alpha 90.00
_cell_angle_beta 90.00
_cell_angle_gamma 90.00
loop_
_atom_site_label
_atom_site_type_symbol
_atom_site_fract_x
_atom_site_fract_y
_atom_site_fract_z
Li1 Li 0.000 0.500 0.000
Li2 Li 0.188 0.188 0.198
Ac1 Ac 0.000 0.000 0.500
Pt1 Pt 0.179 0.179 0.926

- What is the DFT formation energy in the fourth record?
  -0.08 eV/atom